A geometry-optimized As2RhSe structure, computed with PBEsol. Values from VASP.

Summary:
Total energy (Ry/atom): -0.4104
ΔE_f (raw) (kJ per mole of atoms): -3

Structure (Quantum ESPRESSO input):
```
&SYSTEM
  ibrav = 0, nat = 4, ntyp = 3
/
ATOMIC_SPECIES
Rh 102.91 Rh.upf
Se 78.96 Se.upf
As 74.92 As.upf
ATOMIC_POSITIONS crystal
Rh 0.5000 0.5000 0.0000
Se 0.5000 0.5000 0.5000
As 0.0000 0.0000 0.8108
As 0.0000 0.0000 0.1892
CELL_PARAMETERS angstrom
2.9077 0.0000 0.0000
0.0000 2.9077 0.0000
0.0000 0.0000 8.5263
```